# 1
This record from OQMD describes crystalline Ho4GaCu2Ge4 at its relaxed geometry. The functional is PBE-GGA.

Values from the calculation:
Total DFT energy (no corrections): -4.994 eV/atom

Lattice parameters (Å, degrees): 7.9656 7.9656 7.0144 107.11 107.11 30.78
With the nearest neighbours (Å) after each atom.
Positions (direct):
Cu 0.7834 0.7834 0.3659  4 Ge 2.47-2.64
Cu 0.2166 0.2166 0.6341  4 Ge 2.47-2.64
Ga 0.0000 0.0000 0.0000  4 Ge 2.78-3.00
Ge 0.1974 0.1974 0.2464  3 Cu 2.50-2.64
Ge 0.9392 0.9392 0.3353  1 Cu 2.47, 1 Ge 2.49
Ge 0.0608 0.0608 0.6647  1 Cu 2.47, 1 Ge 2.49
Ge 0.8026 0.8026 0.7536  3 Cu 2.50-2.64
Ho 0.3509 0.3509 0.0663  5 Ge 2.88-3.00, 1 Cu 3.10
Ho 0.5882 0.5882 0.3796  6 Ge 3.02-3.06, 3 Cu 3.03-3.07, 2 Ga 3.35
Ho 0.4118 0.4118 0.6204  6 Ge 3.02-3.06, 3 Cu 3.03-3.07, 2 Ga 3.35
Ho 0.6491 0.6491 0.9337  5 Ge 2.88-3.00, 1 Cu 3.10



# 2
This record from OQMD describes crystalline DyTmMgAl at its relaxed geometry. The functional is PBE-GGA.

Values from the calculation:
Total DFT energy (no corrections): -3.856 eV/atom

Lattice parameters (Å, degrees): 5.1625 5.1625 5.1625 60.00 60.00 60.00
With the nearest neighbours (Å) after each atom.
Positions (direct):
Al 0.0000 0.0000 0.0000  4 Tm 3.16, 4 Dy 3.16
Dy 0.2500 0.2500 0.2500  4 Al 3.16, 4 Mg 3.16
Mg 0.5000 0.5000 0.5000  4 Tm 3.16, 4 Dy 3.16
Tm 0.7500 0.7500 0.7500  4 Al 3.16, 4 Mg 3.16



# 3
This record from OQMD describes crystalline LiBeZnSi at its relaxed geometry. The functional is PBE-GGA.

Values from the calculation:
ΔE to the lowest computed polymorph: 121 meV per atom

Lattice parameters (Å, degrees): 4.1601 4.1601 4.1601 60.00 60.00 60.00
With the nearest neighbours (Å) after each atom.
Positions (direct):
Be 0.7500 0.7500 0.7500  4 Li 2.55, 4 Zn 2.55
Li 0.0000 0.0000 0.0000  4 Be 2.55, 4 Si 2.55
Si 0.2500 0.2500 0.2500  4 Zn 2.55, 4 Li 2.55
Zn 0.5000 0.5000 0.5000  4 Si 2.55, 4 Be 2.55